(1)
Hf4Ge5: relaxed, PBE.

Computed properties:
Raw total energy ... -7.2987 eV per atom
Density of states at the Fermi level ... 3.8 states/eV/f.u.
Total magnetic moment ... 0.00 Bohr magnetons per cell
Energy relative to the elements ... -0.3098 eV/atom
SG ... I4/m
Density ... 9606 kg/m³

Cell: 5.383 6.468 6.468 Å, 80.03 65.41 65.41°
Positions (direct):
Hf  0.188  0.224  0.401
Hf  0.589  0.599  0.224
Hf  0.411  0.401  0.776
Hf  0.812  0.776  0.599
Ge  0.094  0.650  0.162
Ge  0.744  0.162  0.350
Ge  0.500  0.000  0.000
Ge  0.906  0.350  0.838
Ge  0.256  0.838  0.650

---

(2)
BeAgPt2: relaxed, PBE.

Computed properties:
Raw total energy ... -4.7530 eV per atom
Density of states at the Fermi level ... 1.8 states/eV/f.u.
Total magnetic moment ... 0.00 Bohr magnetons per cell
Energy relative to the elements ... -0.0883 eV/atom
SG ... Cmmm
Density ... 14355 kg/m³

Cell: 4.590 4.590 2.873 Å, 90.00 90.00 104.25°
Positions (direct):
Pt  0.000  0.000  0.000
Pt  0.500  0.500  0.000
Ag  0.500  0.000  0.500
Be  0.000  0.500  0.500

---

(3)
ThZr4Sc2: relaxed, PBE.

Computed properties:
Raw total energy ... -7.7301 eV per atom
Density of states at the Fermi level ... 10.3 states/eV/f.u.
Total magnetic moment ... 0.00 Bohr magnetons per cell
Energy relative to the elements ... 0.0235 eV/atom
SG ... P2/m
Density ... 6519 kg/m³
Excess energy over the best structure of this formula in the dataset ... 0.0 meV/atom

Cell: 3.279 10.524 5.235 Å, 75.62 90.00 90.00°
Positions (direct):
Sc  0.500  0.386  0.914
Sc  0.500  0.757  0.229
Zr  0.500  0.218  0.498
Zr  0.000  0.659  0.779
Zr  0.500  0.925  0.645
Zr  0.000  0.483  0.364
Th  0.000  0.071  0.071

---

Look up the energy relative to the elements of the second one. -0.0883 eV/atom